Entry 1:
Below is a relaxed AgSe3 crystal, with properties calculated at the PBE level.

Cell and atoms, written as extended XYZ:
```
16
Lattice="7.907 0.000 0.000 0.000 7.084 0.000 0.000 0.000 8.400" Properties=species:S:1:pos:R:3 pbc="T T T"
Ag 0.647 1.771 2.048
Ag 3.306 5.313 6.248
Ag 4.600 1.771 2.152
Ag 7.260 5.313 6.353
Se 1.326 1.771 5.440
Se 1.342 3.664 6.875
Se 1.342 6.962 6.875
Se 2.612 0.122 2.675
Se 2.612 3.420 2.675
Se 2.627 5.313 1.240
Se 5.280 1.771 7.160
Se 5.295 3.664 5.725
Se 5.295 6.962 5.725
Se 6.565 0.122 1.525
Se 6.565 3.420 1.525
Se 6.581 5.313 2.960
```

Calculated values
E_form (uncorrected) = 54 meV/atom
magnetization = 0.00 μB per cell

***

Entry 2:
Below is a relaxed PRh5 crystal, with properties calculated at the PBE level.

Cell and atoms, written as extended XYZ:
```
6
Lattice="4.407 0.000 0.000 0.000 1.384 6.847 0.000 -1.384 6.847" Properties=species:S:1:pos:R:3 pbc="T T T"
P 0.000 0.000 0.000
Rh 0.000 0.000 4.662
Rh 0.000 0.000 8.966
Rh 2.203 0.000 2.924
Rh 2.203 0.000 7.455
Rh 2.203 0.000 12.044
```

Calculated values
magnetization = 0.00 μB per cell
formation energy = -0.01 eV/atom
excess energy over the best structure of this formula in the dataset = 133 meV per atom

***

Entry 3:
Below is a relaxed HoNpHg2 crystal, with properties calculated at the PBE level.

Cell and atoms, written as extended XYZ:
```
4
Lattice="5.476 0.000 0.000 0.000 5.476 0.000 0.000 0.000 3.424" Properties=species:S:1:pos:R:3 pbc="T T T"
Ho 0.000 0.000 0.000
Np 2.738 2.738 0.000
Hg 0.000 2.738 1.712
Hg 2.738 0.000 1.712
```

Calculated values
magnetization = 4.87 μB per cell
formation energy = -0.05 eV/atom

***

Entry 4:
Below is a relaxed Ca4WCl crystal, with properties calculated at the PBE level.

Cell and atoms, written as extended XYZ:
```
6
Lattice="0.000 4.709 4.709 4.709 0.000 4.709 4.709 4.709 0.000" Properties=species:S:1:pos:R:3 pbc="T T T"
Ca 3.547 3.547 3.547
Ca 5.871 5.871 3.547
Ca 5.871 3.547 5.871
Ca 3.547 5.871 5.871
W 7.063 7.063 7.063
Cl 0.000 0.000 0.000
```

Calculated values
E_form (uncorrected) = 915 meV/atom
magnetization = 3.84 μB per cell

***

Entry 5:
Below is a relaxed Pr3Sm4Er4 crystal, with properties calculated at the PBE level.

Cell and atoms, written as extended XYZ:
```
11
Lattice="3.616 0.000 0.000 -0.001 5.082 0.000 -1.798 -2.530 19.846" Properties=species:S:1:pos:R:3 pbc="T T T"
Pr 0.000 0.000 0.000
Pr 0.009 0.011 14.406
Pr 1.808 2.541 5.441
Sm 0.000 0.004 7.279
Sm 0.008 0.015 18.007
Sm 1.809 2.537 1.840
Sm 1.817 2.548 12.567
Er 0.005 -0.005 3.626
Er 0.004 0.006 10.793
Er 1.814 2.547 9.053
Er 1.812 2.557 16.221
```

Calculated values
magnetization = 0.00 μB per cell
formation energy = 0.02 eV/atom
excess energy over the best structure of this formula in the dataset = 0 meV per atom

***

Entry 6:
Below is a relaxed GeOsS2 crystal, with properties calculated at the PBE level.

Cell and atoms, written as extended XYZ:
```
4
Lattice="1.651 0.953 7.428 -1.651 0.953 7.428 0.000 -1.907 7.428" Properties=species:S:1:pos:R:3 pbc="T T T"
Ge 0.000 0.000 0.000
Os 0.000 0.000 11.142
S 0.000 0.000 8.921
S 0.000 0.000 13.363
```

Calculated values
E_form (uncorrected) = 489 meV/atom
magnetization = 0.00 μB per cell